# CaSb2Cl PBE optimized geometry
data_CaSb2Cl
_chemical_formula_sum 'Ca1 Sb2 Cl1'
_symmetry_space_group_name_H-M 'P 1'
_symmetry_Int_Tables_number 1
_symmetry_space_group_name_Hall 'P 1'
_cell_length_a 5.397
_cell_length_b 5.397
_cell_length_c 5.397
_cell_angle_alpha 60.00
_cell_angle_beta 60.00
_cell_angle_gamma 60.00
loop_
_atom_site_label
_atom_site_fract_x
_atom_site_fract_y
_atom_site_fract_z
Ca1 0.000 0.000 0.000
Sb1 0.250 0.250 0.250
Sb2 0.750 0.750 0.750
Cl1 0.500 0.500 0.500
# * symmetry: Fm-3m (225)
# * DOS at the Fermi energy: 4.23 states/eV/f.u.
# * raw formation energy: -0.76 eV/f.u.

# BaPbAu3 PBE optimized geometry
data_BaPbAu3
_chemical_formula_sum 'Ba2 Pb2 Au6'
_symmetry_space_group_name_H-M 'P 1'
_symmetry_Int_Tables_number 1
_symmetry_space_group_name_Hall 'P 1'
_cell_length_a 13.996
_cell_length_b 13.996
_cell_length_c 4.724
_cell_angle_alpha 90.00
_cell_angle_beta 90.00
_cell_angle_gamma 162.68
loop_
_atom_site_label
_atom_site_fract_x
_atom_site_fract_y
_atom_site_fract_z
Ba1 0.079 0.921 0.750
Ba2 0.921 0.079 0.250
Pb1 0.207 0.793 0.250
Pb2 0.793 0.207 0.750
Au1 0.312 0.688 0.250
Au2 0.372 0.628 0.750
Au3 0.472 0.528 0.750
Au4 0.528 0.472 0.250
Au5 0.628 0.372 0.250
Au6 0.688 0.312 0.750
# * symmetry: Cmcm (63)
# * DOS at the Fermi energy: 2.78 states/eV/f.u.
# * E_form: -0.4591 eV per atom